Entry 1:
HoMg2Cu9 | GGA-PBE | optimized geometry

## Properties
E above lowest polymorph: 0.005 eV/atom
symmetry: R-3m, No. 166
calculated formation energy: -0.171 eV/atom
N(E_F): 7.96 states/eV/f.u.

Lattice parameters (Å, degrees): 5.0303 5.0303 8.5473 72.89 72.89 60.00
Last column: nearest neighbours and their distance in Å.
Fractional positions:
Ho1 0.0000 0.0000 0.0000  18 Cu 2.90-3.24
Mg1 0.8551 0.8551 0.4346  12 Cu 2.89-2.95, 3 Mg 3.09
Mg2 0.1449 0.1449 0.5654  12 Cu 2.89-2.95, 3 Mg 3.09
Cu1 0.6668 0.6668 0.9995  6 Cu 2.49-2.51
Cu2 0.3332 0.3332 0.0005  6 Cu 2.49-2.51
Cu3 0.5000 0.5000 0.5000  6 Cu 2.46
Cu4 0.4142 0.4142 0.2535  7 Cu 2.46-2.54
Cu5 0.9182 0.4142 0.2535  7 Cu 2.46-2.54
Cu6 0.4142 0.9182 0.2535  7 Cu 2.46-2.54
Cu7 0.5858 0.5858 0.7465  7 Cu 2.46-2.54
Cu8 0.5858 0.0818 0.7465  7 Cu 2.46-2.54
Cu9 0.0818 0.5858 0.7465  7 Cu 2.46-2.54

---

Entry 2:
Ho4MgCu | GGA-PBE | optimized geometry

## Properties
symmetry: P4/mmm, No. 123
calculated formation energy: 0.221 eV/atom
N(E_F): 6.41 states/eV/f.u.

Lattice parameters (Å, degrees): 4.8506 4.8527 7.5926 90.00 90.00 90.00
Last column: nearest neighbours and their distance in Å.
Fractional positions:
Ho1 0.5013 0.9971 0.2825  2 Cu 2.93, 2 Mg 3.25, 1 Ho 3.28
Ho2 0.5014 0.9972 0.7139  2 Cu 2.93, 2 Mg 3.25, 1 Ho 3.28
Ho3 0.0014 0.4972 0.7138  2 Cu 2.93, 2 Mg 3.25, 1 Ho 3.27
Ho4 0.0013 0.4972 0.2826  2 Cu 2.92-2.93, 2 Mg 3.25, 1 Ho 3.27
Mg1 0.5012 0.4974 0.9981  8 Ho 3.25
Cu1 0.0011 0.9977 0.4981  8 Ho 2.92-2.93

---

Entry 3:
NdHoMgCu | GGA-PBE | optimized geometry

## Properties
symmetry: F-43m, No. 216
calculated formation energy: -0.047 eV/atom
N(E_F): 4.46 states/eV/f.u.

Lattice parameters (Å, degrees): 5.2023 5.2023 5.2023 60.00 60.00 60.00
Last column: nearest neighbours and their distance in Å.
Fractional positions:
Mg1 0.0000 0.0000 0.0000  4 Nd 3.19, 4 Ho 3.19
Nd1 0.7500 0.7500 0.7500  4 Cu 3.19, 4 Mg 3.19
Ho1 0.2500 0.2500 0.2500  4 Mg 3.19, 4 Cu 3.19
Cu1 0.5000 0.5000 0.5000  4 Ho 3.19, 4 Nd 3.19

---

Entry 4:
HoMgCuNi | GGA-PBE | optimized geometry

## Properties
symmetry: F-43m, No. 216
calculated formation energy: -0.241 eV/atom
N(E_F): 2.43 states/eV/f.u.

Lattice parameters (Å, degrees): 4.6224 4.6224 4.6224 60.00 60.00 60.00
Last column: nearest neighbours and their distance in Å.
Fractional positions:
Ni1 0.0000 0.0000 0.0000  4 Ho 2.83, 4 Mg 2.83
Mg1 0.7500 0.7500 0.7500  4 Ni 2.83, 4 Cu 2.83
Ho1 0.2500 0.2500 0.2500  4 Cu 2.83, 4 Ni 2.83
Cu1 0.5000 0.5000 0.5000  4 Mg 2.83, 4 Ho 2.83

---

Entry 5:
Ho2MgCuO5 | GGA-PBE | optimized geometry

## Properties
symmetry: P4/mbm, No. 127
uncorrected formation energy: -2340.5 meV per atom

Lattice parameters (Å, degrees): 5.5991 6.3314 6.3314 90.00 90.00 90.00
Last column: nearest neighbours and their distance in Å.
Fractional positions:
Ho1 0.5000 0.6715 0.1715  4 O 2.17-2.35
Ho2 0.5000 0.1715 0.3285  4 O 2.17-2.35
Ho3 0.5000 0.8285 0.6715  4 O 2.17-2.35
Ho4 0.5000 0.3285 0.8285  4 O 2.17-2.35
Mg1 0.0000 0.5000 0.5000  10 O 2.77-2.80
Mg2 0.0000 0.0000 0.0000  10 O 2.77-2.80
Cu1 0.0000 0.0000 0.5000  4 O 1.89
Cu2 0.0000 0.5000 0.0000  4 O 1.89
O1 0.5000 0.5000 0.5000  4 Ho 2.35
O2 0.5000 0.0000 0.0000  4 Ho 2.35
O3 0.2408 0.1483 0.6483  1 Cu 1.89
O4 0.2408 0.8517 0.3517  1 Cu 1.89
O5 0.2408 0.3517 0.1483  1 Cu 1.89
O6 0.2408 0.6483 0.8517  1 Cu 1.89
O7 0.7592 0.1483 0.6483  1 Cu 1.89
O8 0.7592 0.6483 0.8517  1 Cu 1.89
O9 0.7592 0.8517 0.3517  1 Cu 1.89
O10 0.7592 0.3517 0.1483  1 Cu 1.89

---

Entry 6:
HoMgCuPb | GGA-PBE | optimized geometry

## Properties
symmetry: F-43m, No. 216
calculated formation energy: -0.192 eV/atom
N(E_F): 0.63 states/eV/f.u.

Lattice parameters (Å, degrees): 5.0331 5.0331 5.0331 60.00 60.00 60.00
Last column: nearest neighbours and their distance in Å.
Fractional positions:
Pb1 0.7500 0.7500 0.7500  4 Ho 3.08, 4 Mg 3.08
Mg1 0.5000 0.5000 0.5000  4 Pb 3.08, 4 Cu 3.08
Ho1 0.0000 0.0000 0.0000  4 Pb 3.08, 4 Cu 3.08
Cu1 0.2500 0.2500 0.2500  4 Mg 3.08, 4 Ho 3.08

---

Entry 7:
HoMgCuPd | GGA-PBE | optimized geometry

## Properties
symmetry: F-43m, No. 216
calculated formation energy: -0.506 eV/atom
N(E_F): 2.26 states/eV/f.u.

Lattice parameters (Å, degrees): 4.7347 4.7347 4.7347 60.00 60.00 60.00
Last column: nearest neighbours and their distance in Å.
Fractional positions:
Mg1 0.5000 0.5000 0.5000  4 Cu 2.90, 4 Pd 2.90
Cu1 0.2500 0.2500 0.2500  4 Ho 2.90, 4 Mg 2.90
Ho1 0.0000 0.0000 0.0000  4 Pd 2.90, 4 Cu 2.90
Pd1 0.7500 0.7500 0.7500  4 Mg 2.90, 4 Ho 2.90

---

Entry 8:
HoMgCuRu | GGA-PBE | optimized geometry

## Properties
symmetry: F-43m, No. 216
calculated formation energy: -0.160 eV/atom
N(E_F): 1.39 states/eV/f.u.

Lattice parameters (Å, degrees): 4.6550 4.6550 4.6550 60.00 60.00 60.00
Last column: nearest neighbours and their distance in Å.
Fractional positions:
Ru1 0.7500 0.7500 0.7500  4 Ho 2.85, 4 Mg 2.85
Mg1 0.0000 0.0000 0.0000  4 Ru 2.85, 4 Cu 2.85
Ho1 0.5000 0.5000 0.5000  4 Ru 2.85, 4 Cu 2.85
Cu1 0.2500 0.2500 0.2500  4 Ho 2.85, 4 Mg 2.85

---

Entry 9:
TbHoMgCu | GGA-PBE | optimized geometry

## Properties
E above lowest polymorph: 0.000 eV/atom
symmetry: P4mm, No. 99
calculated formation energy: -0.146 eV/atom
N(E_F): 4.28 states/eV/f.u.

Lattice parameters (Å, degrees): 3.4877 3.4877 7.9883 90.00 90.00 90.00
Last column: nearest neighbours and their distance in Å.
Fractional positions:
Tb1 0.0000 0.0000 0.3948  4 Cu 3.02, 1 Ho 3.37
Ho1 0.0000 0.0000 0.8170  4 Cu 2.96
Mg1 0.5000 0.5000 0.1039  4 Ho 3.37, 4 Tb 3.39, 4 Mg 3.49
Cu1 0.5000 0.5000 0.6122  4 Ho 2.96, 4 Tb 3.02

---

Entry 10:
TbHoMgCu | GGA-PBE | optimized geometry

## Properties
E above lowest polymorph: 0.082 eV/atom
symmetry: F-43m, No. 216
calculated formation energy: -0.064 eV/atom
N(E_F): 3.80 states/eV/f.u.

Lattice parameters (Å, degrees): 5.1218 5.1218 5.1218 60.00 60.00 60.00
Last column: nearest neighbours and their distance in Å.
Fractional positions:
Mg1 0.7500 0.7500 0.7500  4 Tb 3.14, 4 Ho 3.14
Tb1 0.0000 0.0000 0.0000  4 Cu 3.14, 4 Mg 3.14
Ho1 0.5000 0.5000 0.5000  4 Mg 3.14, 4 Cu 3.14
Cu1 0.2500 0.2500 0.2500  4 Tb 3.14, 4 Ho 3.14

---

Entry 11:
HoMgTlCu | GGA-PBE | optimized geometry

## Properties
symmetry: F-43m, No. 216
calculated formation energy: -0.194 eV/atom
N(E_F): 2.44 states/eV/f.u.

Lattice parameters (Å, degrees): 4.9595 4.9595 4.9595 60.00 60.00 60.00
Last column: nearest neighbours and their distance in Å.
Fractional positions:
Mg1 0.5000 0.5000 0.5000  4 Cu 3.04, 4 Tl 3.04
Tl1 0.7500 0.7500 0.7500  4 Ho 3.04, 4 Mg 3.04
Ho1 0.0000 0.0000 0.0000  4 Tl 3.04, 4 Cu 3.04
Cu1 0.2500 0.2500 0.2500  4 Ho 3.04, 4 Mg 3.04

---

Entry 12:
HoTmMgCu | GGA-PBE | optimized geometry

## Properties
E above lowest polymorph: 0.000 eV/atom
symmetry: P4mm, No. 99
calculated formation energy: -0.158 eV/atom
N(E_F): 3.40 states/eV/f.u.

Lattice parameters (Å, degrees): 3.4463 3.4463 8.0007 90.00 90.00 90.00
Last column: nearest neighbours and their distance in Å.
Fractional positions:
Ho1 0.5000 0.5000 0.7818  4 Cu 2.98
Tm1 0.5000 0.5000 0.3624  4 Cu 2.93
Mg1 0.0000 0.0000 0.0740  4 Tm 3.36, 4 Ho 3.38, 4 Mg 3.45
Cu1 0.0000 0.0000 0.5665  4 Tm 2.93, 4 Ho 2.98

---

Entry 13:
HoTmMgCu | GGA-PBE | optimized geometry

## Properties
E above lowest polymorph: 0.091 eV/atom
symmetry: F-43m, No. 216
calculated formation energy: -0.067 eV/atom
N(E_F): 3.89 states/eV/f.u.

Lattice parameters (Å, degrees): 5.0796 5.0796 5.0796 60.00 60.00 60.00
Last column: nearest neighbours and their distance in Å.
Fractional positions:
Mg1 0.2500 0.2500 0.2500  4 Tm 3.11, 4 Ho 3.11
Tm1 0.0000 0.0000 0.0000  4 Cu 3.11, 4 Mg 3.11
Ho1 0.5000 0.5000 0.5000  4 Mg 3.11, 4 Cu 3.11
Cu1 0.7500 0.7500 0.7500  4 Ho 3.11, 4 Tm 3.11